1.
This record from the Alexandria database describes a relaxed NpUReRu crystal. The functional is PBE.

abc: 4.614 4.614 4.614
angles: 60.00 60.00 60.00
Site moments in Bohr magnetons follow the coordinates.
Fractional positions:
Np 0.000 0.000 0.000  2.37
Ru 0.250 0.250 0.250  -0.08
U 0.750 0.750 0.750  0.95
Re 0.500 0.500 0.500  -0.14

ρ in g/cm3: 18.22
Volume in Å³ per cell: 69.5
Calculated formation energy in eV per atom: 0.02

---

2.
This record from the Alexandria database describes a relaxed HoGa4Ir2Pt crystal. The functional is PBE.

abc: 4.271 4.271 8.998
angles: 76.27 76.27 60.00
Fractional positions:
Ga 0.398 0.398 0.807
Ga 0.130 0.130 0.611
Ga 0.870 0.870 0.389
Ga 0.602 0.602 0.193
Ho 0.000 0.000 0.000
Ir 0.748 0.748 0.756
Ir 0.252 0.252 0.244
Pt 0.500 0.500 0.500

ρ in g/cm3: 12.43
Volume in Å³ per cell: 136.7
Calculated formation energy in eV per atom: -0.52

---

3.
This record from the Alexandria database describes a relaxed TiIn3Ni crystal. The functional is PBE.

abc: 4.841 4.841 4.841
angles: 90.00 90.00 90.00
Fractional positions:
In 0.000 0.500 0.000
In 0.000 0.000 0.500
In 0.500 0.000 0.000
Ni 0.000 0.000 0.000
Ti 0.500 0.500 0.500

ρ in g/cm3: 6.60
Volume in Å³ per cell: 113.4
Calculated formation energy in eV per atom: 0.37
Distance to the lowest polymorph of the same formula in meV/atom: 0

---

4.
This record from the Alexandria database describes a relaxed Sb2Pd2Pt crystal. The functional is PBE.

abc: 7.106 7.106 3.896
angles: 90.00 90.00 90.00
Fractional positions:
Pd 0.360 0.140 0.500
Pd 0.140 0.640 0.500
Pd 0.640 0.860 0.500
Pd 0.860 0.360 0.500
Sb 0.343 0.843 0.000
Sb 0.843 0.657 0.000
Sb 0.657 0.157 0.000
Sb 0.157 0.343 0.000
Pt 0.500 0.500 0.000
Pt 0.000 0.000 0.000

ρ in g/cm3: 11.00
Volume in Å³ per cell: 196.7
Distance to the lowest polymorph of the same formula in meV/atom: 123
E_form (uncorrected) in eV/f.u.: -0.9

---

5.
This record from the Alexandria database describes a relaxed BiPd2Pb crystal. The functional is PBE.

abc: 7.638 7.638 6.280
angles: 52.54 52.54 90.00
Fractional positions:
Pd 0.875 0.877 0.750
Pd 0.123 0.625 0.250
Pd 0.375 0.373 0.750
Pd 0.627 0.125 0.250
Bi 0.000 0.000 0.000
Bi 0.750 0.250 0.500
Pb 0.500 0.500 0.000
Pb 0.250 0.750 0.500

ρ in g/cm3: 11.18
Volume in Å³ per cell: 186.9
Calculated formation energy in eV per atom: 0.00

---

6.
This record from the Alexandria database describes a relaxed Na7Ga crystal. The functional is PBE.

abc: 7.092 7.092 7.092
angles: 60.00 60.00 60.00
Fractional positions:
Ga 0.000 0.000 0.000
Na 0.000 0.000 0.500
Na 0.000 0.500 0.000
Na 0.000 0.500 0.500
Na 0.500 0.500 0.000
Na 0.500 0.000 0.500
Na 0.500 0.000 0.000
Na 0.500 0.500 0.500

ρ in g/cm3: 1.52
Volume in Å³ per cell: 252.3
Calculated formation energy in eV per atom: 0.03

---

7.
This record from the Alexandria database describes a relaxed OsRhAu2 crystal. The functional is PBE.

abc: 4.500 4.500 4.500
angles: 60.00 60.00 60.00
Site moments in Bohr magnetons follow the coordinates.
Fractional positions:
Au 0.750 0.750 0.750  0.04
Au 0.250 0.250 0.250  0.04
Rh 0.000 0.000 0.000  0.18
Os 0.500 0.500 0.500  0.76

ρ in g/cm3: 17.70
Volume in Å³ per cell: 64.4
Calculated formation energy in eV per atom: 0.66
Distance to the lowest polymorph of the same formula in meV/atom: 446

---

8.
This record from the Alexandria database describes a relaxed Nd2SiN3 crystal. The functional is PBE.

abc: 5.387 6.018 11.815
angles: 89.28 88.39 63.41
Fractional positions:
N 0.119 0.322 0.357
N 0.024 0.952 0.250
N 0.567 0.865 0.250
N 0.146 0.189 0.954
N 0.881 0.678 0.643
N 0.976 0.048 0.750
N 0.433 0.135 0.750
N 0.854 0.811 0.046
N 0.441 0.678 0.857
N 0.335 0.811 0.454
N 0.665 0.189 0.546
N 0.559 0.322 0.143
Nd 0.133 0.223 0.567
Nd 0.644 0.223 0.933
Nd 0.040 0.397 0.143
Nd 0.960 0.603 0.857
Nd 0.867 0.777 0.433
Nd 0.356 0.777 0.067
Nd 0.437 0.603 0.643
Nd 0.563 0.397 0.357
Si 0.257 0.001 0.832
Si 0.258 0.999 0.332
Si 0.743 0.999 0.168
Si 0.742 0.001 0.668

ρ in g/cm3: 6.96
Volume in Å³ per cell: 342.4
Distance to the lowest polymorph of the same formula in meV/atom: 0
E_form (uncorrected) in eV/f.u.: -7.6

---

9.
This record from the Alexandria database describes a relaxed La3In7Ir4 crystal. The functional is PBE.

abc: 4.507 8.641 9.354
angles: 68.85 76.06 74.88
Fractional positions:
In 0.318 0.840 0.525
In 0.837 0.396 0.930
In 0.163 0.604 0.070
In 0.000 0.000 0.000
In 0.682 0.160 0.475
In 0.507 0.772 0.214
In 0.493 0.228 0.786
La 0.000 0.500 0.500
La 0.305 0.181 0.208
La 0.695 0.819 0.792
Ir 0.887 0.893 0.333
Ir 0.113 0.107 0.667
Ir 0.334 0.556 0.776
Ir 0.666 0.444 0.224

ρ in g/cm3: 10.21
Volume in Å³ per cell: 323.6
Calculated formation energy in eV per atom: -0.48

---

10.
This record from the Alexandria database describes a relaxed La8PSe4Cl3 crystal. The functional is PBE.

abc: 8.517 8.486 8.517
angles: 120.12 120.00 90.00
Fractional positions:
La 0.241 0.255 0.998
La 0.757 0.255 0.514
La 0.759 0.745 0.002
La 0.751 0.752 0.502
La 0.249 0.248 0.498
La 0.243 0.745 0.002
La 0.757 0.255 0.998
La 0.243 0.745 0.486
Se 0.000 0.000 0.000
Se 0.500 0.000 0.500
Se 0.000 0.000 0.500
Se 0.500 0.000 0.000
Cl 0.500 0.500 0.000
Cl 0.000 0.500 0.500
Cl 0.500 0.500 0.500
P 0.000 0.500 0.000

ρ in g/cm3: 5.98
Volume in Å³ per cell: 434.5
E_form (uncorrected) in eV/f.u.: -29.1

---

11.
This record from the Alexandria database describes a relaxed NdZrCuPd crystal. The functional is PBE.

abc: 4.903 4.903 4.903
angles: 60.00 60.00 60.00
Fractional positions:
Zr 0.500 0.500 0.500
Pd 0.250 0.250 0.250
Cu 0.750 0.750 0.750
Nd 0.000 0.000 0.000

ρ in g/cm3: 8.08
Volume in Å³ per cell: 83.3
Calculated formation energy in eV per atom: -0.27

---

12.
This record from the Alexandria database describes a relaxed LiIn2Mo crystal. The functional is PBE.

abc: 4.898 4.898 5.768
angles: 82.89 82.89 34.43
Fractional positions:
Li 0.250 0.250 0.250
In 0.002 0.002 0.994
In 0.498 0.498 0.506
Mo 0.750 0.750 0.750

ρ in g/cm3: 7.12
Volume in Å³ per cell: 77.6
Calculated formation energy in eV per atom: 0.27
Distance to the lowest polymorph of the same formula in meV/atom: 176